Density functional theory data (GGA-PBE) for a geometry-optimized Zr2UN3 structure.

Results
**Space group**: Pnma, No. 62
**Total DFT energy (no corrections)**: -10.498 eV per atom
**ΔE_f (raw)**: -1.60 eV per atom
**Total magnetic moment**: 0.440 μB per formula unit

Geometry as POSCAR:
```
Zr2UN3
1.0
6.637 0.000 0.000
0.000 4.715 0.000
0.000 0.000 9.941
Zr U N
8 4 12
Direct
0.119 0.250 0.244
0.125 0.250 0.916
0.375 0.750 0.416
0.381 0.750 0.744
0.619 0.250 0.256
0.625 0.250 0.584
0.875 0.750 0.084
0.881 0.750 0.756
0.128 0.250 0.584
0.372 0.750 0.084
0.628 0.250 0.916
0.872 0.750 0.416
0.124 0.750 0.250
0.129 0.750 0.585
0.129 0.750 0.919
0.371 0.250 0.085
0.371 0.250 0.419
0.376 0.250 0.750
0.624 0.750 0.250
0.629 0.750 0.581
0.629 0.750 0.915
0.871 0.250 0.081
0.871 0.250 0.415
0.876 0.250 0.750
```

---

Density functional theory data (GGA-PBE) for a geometry-optimized LaEr12Al3 structure.

Results
**Space group**: P4/mmm, No. 123
**Total DFT energy (no corrections)**: -4.548 eV per atom
**Formation energy from the elements**: -0.12 eV per atom
**Total magnetic moment**: 0.000 μB per formula unit

Geometry as POSCAR:
```
LaEr12Al3
1.0
4.759 0.000 0.000
0.000 4.759 0.000
0.000 0.000 19.542
La Er Al
1 12 3
Direct
0.000 0.000 0.000
0.000 0.500 0.139
0.000 0.500 0.380
0.000 0.500 0.620
0.000 0.500 0.861
0.500 0.000 0.139
0.500 0.000 0.380
0.500 0.000 0.620
0.500 0.000 0.861
0.500 0.500 0.000
0.500 0.500 0.260
0.500 0.500 0.500
0.500 0.500 0.740
0.000 0.000 0.260
0.000 0.000 0.500
0.000 0.000 0.740
```

---

Density functional theory data (GGA-PBE) for a geometry-optimized AcCeHoTm structure.

Results
**Space group**: F-43m, No. 216
**Total DFT energy (no corrections)**: -4.599 eV per atom
**Formation energy from the elements**: 0.17 eV per atom
**Total magnetic moment**: 0.624 μB per formula unit

Geometry as POSCAR:
```
AcCeHoTm
1.0
8.198 0.000 0.000
0.000 8.198 0.000
0.000 0.000 8.198
Ac Ce Ho Tm
4 4 4 4
Direct
0.000 0.000 0.000
0.000 0.500 0.500
0.500 0.000 0.500
0.500 0.500 0.000
0.000 0.000 0.500
0.000 0.500 0.000
0.500 0.000 0.000
0.500 0.500 0.500
0.250 0.250 0.250
0.250 0.750 0.750
0.750 0.250 0.750
0.750 0.750 0.250
0.250 0.250 0.750
0.250 0.750 0.250
0.750 0.250 0.250
0.750 0.750 0.750
```

---

Density functional theory data (GGA-PBE) for a geometry-optimized Ho2Al2VRu5 structure.

Results
**Space group**: P4/mbm, No. 127
**Total DFT energy (no corrections)**: -7.615 eV per atom
**Formation energy from the elements**: -0.40 eV per atom
**Total magnetic moment**: 0.000 μB per formula unit

Geometry as POSCAR:
```
Ho2Al2VRu5
1.0
10.045 0.000 0.000
0.000 10.045 0.000
0.000 0.000 3.236
Ho Al V Ru
4 4 2 10
Direct
0.171 0.329 0.000
0.329 0.829 0.000
0.671 0.171 0.000
0.829 0.671 0.000
0.129 0.629 0.000
0.371 0.129 0.000
0.629 0.871 0.000
0.871 0.371 0.000
0.000 0.000 0.000
0.500 0.500 0.000
0.000 0.500 0.500
0.064 0.807 0.500
0.193 0.064 0.500
0.307 0.564 0.500
0.436 0.307 0.500
0.500 0.000 0.500
0.564 0.693 0.500
0.693 0.436 0.500
0.807 0.936 0.500
0.936 0.193 0.500
```

---

Density functional theory data (GGA-PBE) for a geometry-optimized Ce6ThN8 structure.

Results
**Space group**: Fm-3m, No. 225
**Total DFT energy (no corrections)**: -8.579 eV per atom
**ΔE_f (raw)**: -1.27 eV per atom
**Total magnetic moment**: 2.711 μB per formula unit

Geometry as POSCAR:
```
Ce6ThN8
1.0
0.000 5.068 5.068
5.068 0.000 5.068
5.068 5.068 0.000
Ce Th N
6 1 8
Direct
0.000 0.000 0.500
0.000 0.500 0.000
0.000 0.500 0.500
0.500 0.000 0.000
0.500 0.000 0.500
0.500 0.500 0.000
0.000 0.000 0.000
0.236 0.236 0.764
0.236 0.764 0.236
0.236 0.764 0.764
0.250 0.250 0.250
0.750 0.750 0.750
0.764 0.236 0.236
0.764 0.236 0.764
0.764 0.764 0.236
```

---

Density functional theory data (GGA-PBE) for a geometry-optimized LiHfPtAu structure.

Results
**Space group**: F-43m, No. 216
**Total DFT energy (no corrections)**: -6.026 eV per atom
**Formation energy from the elements**: -0.73 eV per atom
**Total magnetic moment**: 0.000 μB per formula unit

Geometry as POSCAR:
```
LiHfPtAu
1.0
6.481 0.000 0.000
0.000 6.481 0.000
0.000 0.000 6.481
Li Hf Pt Au
4 4 4 4
Direct
0.000 0.000 0.000
0.000 0.500 0.500
0.500 0.000 0.500
0.500 0.500 0.000
0.000 0.000 0.500
0.000 0.500 0.000
0.500 0.000 0.000
0.500 0.500 0.500
0.250 0.250 0.750
0.250 0.750 0.250
0.750 0.250 0.250
0.750 0.750 0.750
0.250 0.250 0.250
0.250 0.750 0.750
0.750 0.250 0.750
0.750 0.750 0.250
```

---

Density functional theory data (GGA-PBE) for a geometry-optimized MgSc6P2Se3 structure.

Results
**Space group**: C2/m, No. 12
**Total DFT energy (no corrections)**: -6.329 eV per atom
**ΔE_f (raw)**: -1.26 eV per atom
**Total magnetic moment**: 0.000 μB per formula unit

Geometry as POSCAR:
```
MgSc6P2Se3
1.0
8.326 -1.909 0.000
8.326 1.909 0.000
-1.381 0.000 7.774
Mg Sc P Se
1 6 2 3
Direct
0.000 0.000 0.000
0.172 0.172 0.576
0.180 0.180 0.123
0.486 0.486 0.719
0.514 0.514 0.281
0.820 0.820 0.877
0.828 0.828 0.424
0.329 0.329 0.655
0.671 0.671 0.345
0.000 0.000 0.500
0.343 0.343 0.158
0.657 0.657 0.842
```

---

Density functional theory data (GGA-PBE) for a geometry-optimized TbDyLuCd structure.

Results
**Space group**: F-43m, No. 216
**Total DFT energy (no corrections)**: -3.707 eV per atom
**Formation energy from the elements**: -0.04 eV per atom
**Total magnetic moment**: 0.002 μB per formula unit

Geometry as POSCAR:
```
TbDyLuCd
1.0
7.652 0.000 0.000
0.000 7.652 0.000
0.000 0.000 7.652
Tb Dy Lu Cd
4 4 4 4
Direct
0.000 0.000 0.000
0.000 0.500 0.500
0.500 0.000 0.500
0.500 0.500 0.000
0.000 0.000 0.500
0.000 0.500 0.000
0.500 0.000 0.000
0.500 0.500 0.500
0.250 0.250 0.750
0.250 0.750 0.250
0.750 0.250 0.250
0.750 0.750 0.750
0.250 0.250 0.250
0.250 0.750 0.750
0.750 0.250 0.750
0.750 0.750 0.250
```

---

Density functional theory data (GGA-PBE) for a geometry-optimized SmTmNi2 structure.

Results
**Space group**: P4/mmm, No. 123
**Total DFT energy (no corrections)**: -5.545 eV per atom
**Energy relative to the lowest polymorph listed for this composition**: 73 meV/atom
**Formation energy from the elements**: -0.36 eV per atom
**Total magnetic moment**: 0.000 μB per formula unit

Geometry as POSCAR:
```
SmTmNi2
1.0
4.830 0.000 0.000
0.000 4.830 0.000
0.000 0.000 3.334
Sm Tm Ni
1 1 2
Direct
0.000 0.000 0.000
0.500 0.500 0.000
0.000 0.500 0.500
0.500 0.000 0.500
```

---

Density functional theory data (GGA-PBE) for a geometry-optimized Ba5Mg2Tl structure.

Results
**Space group**: Pbam, No. 55
**Total DFT energy (no corrections)**: -2.009 eV per atom
**Formation energy from the elements**: -0.11 eV per atom
**Total magnetic moment**: 0.000 μB per formula unit

Geometry as POSCAR:
```
Ba5Mg2Tl
1.0
7.837 0.000 0.000
0.000 15.110 0.000
0.000 0.000 6.183
Ba Mg Tl
10 4 2
Direct
0.000 0.000 0.000
0.144 0.280 0.000
0.158 0.605 0.500
0.342 0.105 0.500
0.356 0.780 0.000
0.500 0.500 0.000
0.644 0.220 0.000
0.658 0.895 0.500
0.842 0.395 0.500
0.856 0.720 0.000
0.134 0.867 0.500
0.366 0.367 0.500
0.634 0.633 0.500
0.866 0.133 0.500
0.000 0.500 0.000
0.500 0.000 0.000
```

---

Density functional theory data (GGA-PBE) for a geometry-optimized HoZrIr structure.

Results
**Space group**: Amm2, No. 38
**Total DFT energy (no corrections)**: -8.033 eV per atom
**Energy relative to the lowest polymorph listed for this composition**: 0 meV/atom
**Formation energy from the elements**: -0.70 eV per atom
**Total magnetic moment**: 0.000 μB per formula unit

Geometry as POSCAR:
```
HoZrIr
1.0
4.610 0.000 0.000
0.000 6.121 3.535
0.000 -6.121 3.535
Ho Zr Ir
3 3 3
Direct
0.000 0.000 0.000
0.000 0.169 0.585
0.000 0.585 0.169
0.500 0.329 0.329
0.500 0.584 0.840
0.500 0.840 0.584
0.000 0.586 0.586
0.500 0.251 0.918
0.500 0.918 0.251
```

---

Density functional theory data (GGA-PBE) for a geometry-optimized Ba2LaHgSe5 structure.

Results
**Space group**: Cmc2_1, No. 36
**Total DFT energy (no corrections)**: -4.411 eV per atom
**ΔE_f (raw)**: -1.47 eV per atom
**Total magnetic moment**: 0.000 μB per formula unit

Geometry as POSCAR:
```
Ba2LaHgSe5
1.0
2.210 -9.662 0.000
2.210 9.662 0.000
0.000 0.000 13.339
Ba La Hg Se
4 2 2 10
Direct
0.117 0.883 0.500
0.129 0.871 0.132
0.871 0.129 0.632
0.883 0.117 0.000
0.205 0.795 0.825
0.795 0.205 0.325
0.459 0.541 0.260
0.541 0.459 0.760
0.047 0.953 0.876
0.294 0.706 0.478
0.312 0.688 0.172
0.357 0.643 0.819
0.495 0.505 0.577
0.505 0.495 0.077
0.643 0.357 0.319
0.688 0.312 0.672
0.706 0.294 0.978
0.953 0.047 0.376
```